The following is a DFT calculation (GGA-PBE) of an optimized crystal structure of PrMgNb. Values from VASP.

Cell and atoms, written as Quantum ESPRESSO input:
```
&SYSTEM
  ibrav = 0, nat = 3, ntyp = 3
/
ATOMIC_SPECIES
Nb 92.91 Nb.upf
Pr 140.91 Pr.upf
Mg 24.30 Mg.upf
CELL_PARAMETERS angstrom
-3.972 1.509 2.780
-3.209 3.480 -1.837
-4.705 -1.348 -1.353
ATOMIC_POSITIONS angstrom
Nb -8.914 2.731 -0.307
Pr 0.000 0.000 0.000
Mg -2.971 0.910 -0.102
```

Offset from the most stable computed form ... 0.3413 eV/atom
Crystal system ... cubic
Theoretical density ... 4.6 Mg/m³
Total moment ... 0.9468 μB/atom
Space-group type ... F-43m, No. 216